Crystalline Ba2ReW at its relaxed geometry, computed with PBE-GGA.

calculated formation energy	1.66	eV per atom
energy above the most stable polymorph in this dataset	421.6	kJ/mol of formula units
total magnetization	0.00	μB per formula unit

Cell: 2.968 5.698 5.933 Å, 90.00 90.00 90.00°
Element x y z (fractional)
1 Re 0.500 0.500 0.250
2 Ba 0.000 0.000 0.001
3 Ba 0.000 0.000 0.499
4 W 0.500 0.500 0.750


Crystalline Tb6BiPt2Se3 at its relaxed geometry, computed with PBE-GGA.

ΔE_f (raw)	-1.4006	eV/atom
total magnetization	0.00	μB per formula unit

Cell: 4.116 8.567 9.491 Å, 105.73 102.52 90.00°
Element x y z (fractional)
1 Tb 0.325 0.888 0.649
2 Tb 0.671 0.576 0.342
3 Tb 0.675 0.112 0.351
4 Tb 0.007 0.268 0.014
5 Tb 0.993 0.732 0.986
6 Tb 0.329 0.424 0.658
7 Bi 0.500 0.000 0.000
8 Pt 0.831 0.658 0.662
9 Pt 0.169 0.342 0.338
10 Se 0.500 0.500 0.000
11 Se 0.839 0.159 0.678
12 Se 0.161 0.841 0.322